# Pm2Mg16Cd | Alexandria | PBE-GGA | relaxed
# * formation energy: -65 meV per atom
# * E: -0.144 Ry/atom
data_Pm2Mg16Cd
_chemical_formula_sum 'Pm2 Mg16 Cd1'
_cell_length_a 7.782
_cell_length_b 7.782
_cell_length_c 7.782
_cell_angle_alpha 82.20
_cell_angle_beta 82.20
_cell_angle_gamma 82.20
_symmetry_space_group_name_H-M 'P 1'
_symmetry_Int_Tables_number 1
loop_
_symmetry_equiv_pos_as_xyz
'x,y,z'
loop_
_atom_site_label
_atom_site_fract_x
_atom_site_fract_y
_atom_site_fract_z
Pm1 0.000 0.000 0.000
Pm2 0.344 0.344 0.344
Mg1 0.025 0.025 0.510
Mg2 0.025 0.510 0.025
Mg3 0.169 0.673 0.673
Mg4 0.320 0.320 0.830
Mg5 0.320 0.830 0.320
Mg6 0.370 0.672 0.973
Mg7 0.370 0.973 0.672
Mg8 0.510 0.025 0.025
Mg9 0.579 0.579 0.579
Mg10 0.672 0.370 0.973
Mg11 0.672 0.973 0.370
Mg12 0.673 0.169 0.673
Mg13 0.673 0.673 0.169
Mg14 0.830 0.320 0.320
Mg15 0.973 0.370 0.672
Mg16 0.973 0.672 0.370
Cd1 0.775 0.775 0.775